Compound: Na2ScGaS4
Source: Alexandria via LeMat-Bulk
Functional: PBE
Structure: optimized geometry

Unit cell a=7.638 b=7.638 c=7.681 alpha=120.18 beta=120.18 gamma=90.78
Element x y z (fractional)
Na  0.500  0.000  0.000
Na  0.500  0.000  0.500
Na  0.000  0.000  0.500
Na  0.500  0.500  0.000
Sc  0.000  0.500  0.000
Sc  0.000  0.500  0.500
Ga  0.500  0.500  0.500
Ga  0.000  0.000  0.000
S  0.222  0.743  0.983
S  0.757  0.278  0.517
S  0.243  0.722  0.483
S  0.778  0.257  0.017
S  0.758  0.742  0.969
S  0.758  0.742  0.531
S  0.242  0.258  0.469
S  0.242  0.258  0.031

Output
Space group = Imma (74)
Magnetization = 0.00 μB per formula unit
Formation energy from raw total energies = -119 kJ/mol of atoms
VASP energy = -4.798 eV per atom

***

Compound: NaGa2SeS6
Source: Alexandria via LeMat-Bulk
Functional: PBE
Structure: optimized geometry

Unit cell a=6.976 b=8.329 c=8.329 alpha=89.45 beta=80.72 gamma=80.72
Element x y z (fractional)
Na  0.250  0.926  0.074
Na  0.750  0.074  0.926
Ga  0.306  0.770  0.604
Ga  0.194  0.396  0.230
Ga  0.694  0.230  0.396
Ga  0.806  0.604  0.770
Se  0.250  0.239  0.761
Se  0.750  0.761  0.239
S  0.123  0.006  0.760
S  0.377  0.240  0.994
S  0.877  0.994  0.240
S  0.623  0.760  0.006
S  0.423  0.916  0.383
S  0.077  0.617  0.084
S  0.577  0.084  0.617
S  0.923  0.383  0.916
S  0.002  0.713  0.573
S  0.498  0.427  0.287
S  0.998  0.287  0.427
S  0.502  0.573  0.713

Output
Space group = C2/c (15)
Magnetization = 1.00 μB per formula unit
Formation energy from raw total energies = -28 kJ/mol of atoms
VASP energy = -3.851 eV per atom
D(E_F) = 1.22 states/eV/f.u.

***

Compound: NaGa2SeS
Source: Alexandria via LeMat-Bulk
Functional: PBE
Structure: optimized geometry

Unit cell a=5.531 b=4.688 c=5.531 alpha=90.00 beta=90.00 gamma=90.00
Element x y z (fractional)
Na  0.000  0.000  0.000
S  0.000  0.500  0.000
Ga  0.000  0.000  0.500
Ga  0.500  0.000  0.000
Se  0.500  0.500  0.500

Output
Space group = P4/mmm (123)
Magnetization = 1.00 μB per formula unit
Formation energy from raw total energies = 43 kJ/mol of atoms
VASP energy = -2.552 eV per atom
D(E_F) = 1.93 states/eV/f.u.

***

Compound: NaGa2SiS6
Source: Alexandria via LeMat-Bulk
Functional: PBE
Structure: optimized geometry

Unit cell a=7.196 b=8.901 c=8.901 alpha=90.46 beta=71.15 gamma=71.15
Element x y z (fractional)
Na  0.250  0.876  0.124
Na  0.750  0.124  0.876
Ga  0.398  0.763  0.602
Ga  0.102  0.398  0.237
Ga  0.602  0.237  0.398
Ga  0.898  0.602  0.763
Si  0.250  0.178  0.822
Si  0.750  0.822  0.178
S  0.184  0.958  0.814
S  0.316  0.186  0.042
S  0.816  0.042  0.186
S  0.684  0.814  0.958
S  0.455  0.850  0.354
S  0.045  0.646  0.150
S  0.545  0.150  0.646
S  0.955  0.354  0.850
S  0.132  0.676  0.567
S  0.368  0.433  0.324
S  0.868  0.324  0.433
S  0.632  0.567  0.676

Output
Space group = C2/c (15)
Magnetization = 1.00 μB per formula unit
Formation energy from raw total energies = -57 kJ/mol of atoms
VASP energy = -4.352 eV per atom